Here is crystalline PbICl3 at its relaxed geometry from the Alexandria database. Energies are from GGA-PBE.

Geometry as POSCAR:
```
PbICl3
1.0
-4.155 -2.531 -2.822
3.272 -0.281 -4.566
1.913 -5.015 1.680
Pb Cl I
1 3 1
Direct
0.500 0.500 0.500
0.000 0.000 0.500
0.500 0.000 0.000
0.000 0.500 0.000
0.000 0.000 0.000
```

Output
Its excess energy over the best structure of this formula in the dataset is 466 meV/atom. The formation energy without anion corrections comes out at 0.079 eV per atom.